# PBE Ac2Al4Pd3Au, relaxed
# - magnetic moment (μB/f.u.) = 0.00
# - formation energy from the elements (meV/atom) = -794
data_Ac2Al4Pd3Au
_space_group_name_H-M_alt 'P -4 m 2'
_space_group_IT_number 115
_cell_length_a 4.518
_cell_length_b 4.518
_cell_length_c 10.411
_cell_angle_alpha 90.00
_cell_angle_beta 90.00
_cell_angle_gamma 90.00
loop_
_space_group_symop_operation_xyz
'x,y,z'
'y,-x,-z'
'-x,-y,z'
'-y,x,-z'
'-x,y,z'
'-y,-x,-z'
'x,-y,z'
'y,x,-z'
loop_
_atom_site_label
_atom_site_fract_x
_atom_site_fract_y
_atom_site_fract_z
Ac1 0.000 0.500 0.249
Al1 0.000 0.000 0.000
Al2 0.000 0.500 0.623
Al3 0.500 0.500 0.000
Pd1 0.000 0.500 0.873
Pd2 0.500 0.500 0.500
Au1 0.000 0.000 0.500

# PBE AcAlPd4Au2, relaxed
# - magnetic moment (μB/f.u.) = 0.00
# - formation energy from the elements (meV/atom) = -596
data_AcAlPd4Au2
_space_group_name_H-M_alt 'R -3 m'
_space_group_IT_number 166
_space_group_name_Hall '-R 3 2"'
_cell_length_a 4.5993
_cell_length_b 4.5993
_cell_length_c 24.9591
_cell_angle_alpha 90.00
_cell_angle_beta 90.00
_cell_angle_gamma 120.00
loop_
_atom_site_label
_atom_site_fract_x
_atom_site_fract_y
_atom_site_fract_z
Ac1 0.0000 0.0000 0.0000
Al1 0.0000 0.0000 0.5000
Pd1 0.0000 0.0000 0.1327
Pd2 0.0000 0.0000 0.4027
Au1 0.0000 0.0000 0.2469

# PBE AcPmAlAu, relaxed
# - magnetic moment (μB/f.u.) = 0.00
# - formation energy from the elements (meV/atom) = -441
data_AcPmAlAu
_space_group_name_H-M_alt 'F -4 3 m'
_space_group_IT_number 216
_space_group_name_Hall 'F -4 2 3'
_cell_length_a 7.692
_cell_length_b 7.692
_cell_length_c 7.692
_cell_angle_alpha 90.00
_cell_angle_beta 90.00
_cell_angle_gamma 90.00
loop_
_atom_site_label
_atom_site_fract_x
_atom_site_fract_y
_atom_site_fract_z
Ac1 0.000 0.000 0.000
Pm1 0.000 0.000 0.500
Al1 0.250 0.250 0.750
Au1 0.250 0.250 0.250

# PBE Ac2PmAl3Au12, relaxed
# - magnetic moment (μB/f.u.) = 0.00
# - formation energy from the elements (meV/atom) = -311
data_Ac2PmAl3Au12
_space_group_name_H-M_alt 'R -3 m'
_space_group_IT_number 166
_space_group_name_Hall '-R 3 2"'
_cell_length_a 9.1004
_cell_length_b 9.1004
_cell_length_c 18.9618
_cell_angle_alpha 90.00
_cell_angle_beta 90.00
_cell_angle_gamma 120.00
loop_
_atom_site_label
_atom_site_fract_x
_atom_site_fract_y
_atom_site_fract_z
Ac1 0.0000 0.0000 0.1002
Pm1 0.0000 0.0000 0.5000
Al1 0.0000 0.5000 0.0000
Au1 0.0247 0.5124 0.3177
Au2 0.0284 0.5142 0.8670